{"formula": "Ti2MnSiO", "functional": "GGA+U", "state": "relaxed", "space_group": "No. 123", "magmom_total_mub_per_cell": 0.996, "final_energy_ev_per_fu": -32.34, "lattice_angstrom": [[4.8461, 0.0000, 0.0000], [0.0000, 4.8461, 0.0000], [0.0000, 0.0000, 3.5218]], "species": ["Ti", "Ti", "Mn", "Si", "O"], "frac_coords": [[0.0000, 0.5000, 0.0000], [0.5000, 0.0000, 0.0000], [0.0000, 0.0000, 0.0000], [0.5000, 0.5000, 0.5000], [0.0000, 0.0000, 0.5000]]}